[1]
Compound: YIr2Cl
Source: Alexandria via LeMat-Bulk
Functional: SCAN
Structure: single point on PBEsol structure

Unit cell a=3.1390 b=3.6569 c=7.3874 alpha=90.00 beta=90.00 gamma=90.00
With the nearest neighbours (Å) after each atom.
Fractional coordinates of all 4 atoms:
Y: 0.0000 0.0000 0.0000  1 Ir 2.67, 4 Cl 2.86
Ir: 0.0000 0.0000 0.6390  4 Ir 2.52, 1 Y 2.67
Ir: 0.5000 0.5000 0.7395  4 Ir 2.52
Cl: 0.5000 0.5000 0.2093  4 Y 2.86, 2 Cl 3.14

Values from the calculation:
SG: Pmm2
Energy relative to the elements, uncorrected: -560 meV per atom



[2]
Compound: Hg3MoRu
Source: Alexandria via LeMat-Bulk
Functional: SCAN
Structure: single point on PBEsol structure

Unit cell a=5.0567 b=5.0567 c=5.0567 alpha=90.00 beta=90.00 gamma=90.00
With the nearest neighbours (Å) after each atom.
Fractional coordinates of all 5 atoms:
Hg: 0.0000 0.0000 0.5000  2 Ru 2.53
Hg: 0.0000 0.5000 0.0000  2 Ru 2.53
Hg: 0.5000 0.0000 0.0000  2 Ru 2.53
Mo: 0.5000 0.5000 0.5000  12 Hg 3.58
Ru: 0.0000 0.0000 0.0000  6 Hg 2.53

Values from the calculation:
Energy relative to the elements: 1.287 eV/atom
SG: Pm-3m



[3]
Compound: CdIBr
Source: Alexandria via LeMat-Bulk
Functional: SCAN
Structure: single point on PBEsol structure

Unit cell a=13.4084 b=13.4084 c=13.4084 alpha=17.62 beta=17.62 gamma=17.62
With the nearest neighbours (Å) after each atom.
Fractional coordinates of all 6 atoms:
Cd: 0.0000 0.0000 0.0000  3 Br 2.81, 3 I 2.94
Cd: 0.4997 0.4997 0.4997  3 Br 2.81, 3 I 2.94
I: 0.6228 0.6228 0.6228  3 Cd 2.94
I: 0.7891 0.7891 0.7891  3 Cd 2.94
Br: 0.2047 0.2047 0.2047  3 Cd 2.81
Br: 0.3716 0.3716 0.3716  3 Cd 2.81

Values from the calculation:
SG: R3m
Energy relative to the elements, uncorrected: -787 meV per atom



[4]
Compound: LaCoGeB2
Source: Alexandria via LeMat-Bulk
Functional: SCAN
Structure: single point on PBEsol structure

Unit cell a=4.1755 b=4.1755 c=4.4109 alpha=90.00 beta=90.00 gamma=90.00
With the nearest neighbours (Å) after each atom.
Fractional coordinates of all 5 atoms:
La: 0.0000 0.0000 0.0000  4 Co 2.95, 8 B 3.04
Co: 0.5000 0.5000 0.0000  2 Ge 2.21
Ge: 0.5000 0.5000 0.5000  4 B 2.09, 2 Co 2.21
B: 0.0000 0.5000 0.5000  2 Ge 2.09
B: 0.5000 0.0000 0.5000  2 Ge 2.09

Values from the calculation:
Energy relative to the elements: 0.831 eV/atom
SG: P4/mmm



[5]
Compound: YScCuRe2
Source: Alexandria via LeMat-Bulk
Functional: SCAN
Structure: single point on PBEsol structure

Unit cell a=4.5642 b=4.5642 c=5.0222 alpha=90.00 beta=90.00 gamma=90.00
With the nearest neighbours (Å) after each atom.
Fractional coordinates of all 5 atoms:
Y: 0.0000 0.0000 0.0000  2 Sc 2.51
Sc: 0.0000 0.0000 0.5000  4 Re 2.28, 2 Y 2.51
Cu: 0.5000 0.5000 0.0000  4 Y 3.23, 8 Re 3.39
Re: 0.0000 0.5000 0.5000  2 Sc 2.28
Re: 0.5000 0.0000 0.5000  2 Sc 2.28

Values from the calculation:
Energy relative to the elements: 2.053 eV/atom
SG: P4/mmm



[6]
Compound: KAu2Cl
Source: Alexandria via LeMat-Bulk
Functional: SCAN
Structure: single point on PBEsol structure

Unit cell a=9.2659 b=3.1578 c=7.2606 alpha=90.00 beta=111.54 gamma=90.00
With the nearest neighbours (Å) after each atom.
Fractional coordinates of all 8 atoms:
K: 0.0000 0.0000 0.0000  3 Cl 2.91-2.95, 2 K 3.16
K: 0.5000 0.5000 0.0000  3 Cl 2.91-2.95, 2 K 3.16
Au: 0.1685 0.0000 0.6389  3 Au 2.64-2.68
Au: 0.4181 0.0000 0.5456  3 Au 2.64-2.68, 2 Cl 2.81
Au: 0.6685 0.5000 0.6389  3 Au 2.64-2.68
Au: 0.9181 0.5000 0.5456  3 Au 2.64-2.68, 2 Cl 2.81
Cl: 0.2828 0.5000 0.2059  2 Au 2.81, 3 K 2.91-2.95
Cl: 0.7828 0.0000 0.2059  2 Au 2.81, 3 K 2.91-2.95

Values from the calculation:
SG: Cm
Energy relative to the lowest polymorph listed for this composition: 0.73 eV per formula unit
Energy relative to the elements, uncorrected: -488 meV per atom



[7]
Compound: NaSr3NdTi5O15
Source: Alexandria via LeMat-Bulk
Functional: SCAN
Structure: single point on PBEsol structure

Unit cell a=19.9092 b=19.9092 c=19.9092 alpha=164.27 beta=164.27 gamma=22.32
With the nearest neighbours (Å) after each atom.
Fractional coordinates of all 50 atoms:
Na: 0.2006 0.2006 0.0000  8 O 2.50-2.72
Na: 0.7994 0.7994 0.0000  8 O 2.50-2.72
Sr: 0.0000 0.0000 0.0000  12 O 2.61-2.91
Sr: 0.1007 0.1007 0.0000  8 O 2.57-2.72
Sr: 0.3996 0.3996 0.0000  8 O 2.57-2.72
Sr: 0.5000 0.5000 0.0000  8 O 2.60-2.72
Sr: 0.6004 0.6004 0.0000  8 O 2.57-2.72
Sr: 0.8993 0.8993 0.0000  8 O 2.57-2.72
Nd: 0.2997 0.2997 0.0000  4 O 2.42-2.44
Nd: 0.7003 0.7003 0.0000  4 O 2.42-2.44
Ti: 0.0504 0.5504 0.5000  6 O 1.94-1.97
Ti: 0.1513 0.6513 0.5000  6 O 1.93-1.97
Ti: 0.2500 0.7500 0.5000  6 O 1.93-1.97
Ti: 0.3487 0.8487 0.5000  6 O 1.93-1.97
Ti: 0.4496 0.9496 0.5000  6 O 1.94-1.97
Ti: 0.5504 0.0504 0.5000  6 O 1.94-1.97
Ti: 0.6513 0.1513 0.5000  6 O 1.93-1.97
Ti: 0.7500 0.2500 0.5000  6 O 1.93-1.97
Ti: 0.8487 0.3487 0.5000  6 O 1.93-1.97
Ti: 0.9496 0.4496 0.5000  6 O 1.94-1.97
O: 0.0000 0.5000 0.5000  2 Ti 1.97
O: 0.0541 0.4489 0.0000  2 Ti 1.97
O: 0.0645 0.6339 0.0000  2 Ti 1.95
O: 0.1008 0.6008 0.5000  2 Ti 1.97
O: 0.1443 0.1443 0.5933  2 Ti 1.96
O: 0.1707 0.1707 0.4426  2 Ti 1.94
O: 0.2006 0.7006 0.5000  2 Ti 1.93
O: 0.2284 0.6713 0.0000  2 Ti 1.94
O: 0.2718 0.8293 0.0000  2 Ti 1.94
O: 0.2994 0.7994 0.5000  2 Ti 1.93
O: 0.3287 0.3287 0.5571  2 Ti 1.94
O: 0.3661 0.3661 0.4306  2 Ti 1.95
O: 0.3992 0.8992 0.5000  2 Ti 1.97
O: 0.4489 0.0541 0.0000  2 Ti 1.97
O: 0.4490 0.8557 0.0000  2 Ti 1.96
O: 0.5000 0.0000 0.5000  2 Ti 1.97
O: 0.5510 0.5510 0.4067  2 Ti 1.96
O: 0.5511 0.5511 0.6052  2 Ti 1.97
O: 0.6008 0.1008 0.5000  2 Ti 1.97
O: 0.6339 0.0645 0.0000  2 Ti 1.95
O: 0.6713 0.2284 0.0000  2 Ti 1.94
O: 0.7006 0.2006 0.5000  2 Ti 1.93
O: 0.7282 0.7282 0.5574  2 Ti 1.94
O: 0.7716 0.7716 0.4429  2 Ti 1.94
O: 0.7994 0.2994 0.5000  2 Ti 1.93
O: 0.8293 0.2718 0.0000  2 Ti 1.94
O: 0.8557 0.4490 0.0000  2 Ti 1.96
O: 0.8992 0.3992 0.5000  2 Ti 1.97
O: 0.9355 0.9355 0.5694  2 Ti 1.95
O: 0.9459 0.9459 0.3948  2 Ti 1.97

Values from the calculation:
SG: I-42m
Energy relative to the elements, uncorrected: -3395 meV per atom



[8]
Compound: MoAsBr2
Source: Alexandria via LeMat-Bulk
Functional: SCAN
Structure: single point on PBEsol structure

Unit cell a=15.1094 b=3.1164 c=4.1668 alpha=90.00 beta=106.01 gamma=90.00
With the nearest neighbours (Å) after each atom.
Fractional coordinates of all 8 atoms:
Mo: 0.0000 0.0000 0.0000  4 As 2.60, 4 Br 2.69
Mo: 0.5000 0.5000 0.0000  4 As 2.60, 4 Br 2.69
As: 0.0000 0.5000 0.5000  4 Mo 2.60
As: 0.5000 0.0000 0.5000  4 Mo 2.60
Br: 0.1507 0.5000 0.1491  2 Mo 2.69
Br: 0.3493 0.0000 0.8509  2 Mo 2.69
Br: 0.6507 0.0000 0.1491  2 Mo 2.69
Br: 0.8493 0.5000 0.8509  2 Mo 2.69

Values from the calculation:
SG: C2/m
Energy relative to the lowest polymorph listed for this composition: 0.00 eV per formula unit
Energy relative to the elements, uncorrected: 53 meV per atom



[9]
Compound: BaHfGePt2
Source: Alexandria via LeMat-Bulk
Functional: SCAN
Structure: single point on PBEsol structure

Unit cell a=4.8421 b=4.8421 c=4.9436 alpha=90.00 beta=90.00 gamma=90.00
With the nearest neighbours (Å) after each atom.
Fractional coordinates of all 5 atoms:
Ba: 0.0000 0.0000 0.0000  4 Hf 3.42, 8 Pt 3.46
Hf: 0.5000 0.5000 0.0000  2 Ge 2.47
Ge: 0.5000 0.5000 0.5000  4 Pt 2.42, 2 Hf 2.47
Pt: 0.0000 0.5000 0.5000  2 Ge 2.42
Pt: 0.5000 0.0000 0.5000  2 Ge 2.42

Values from the calculation:
Energy relative to the elements: -0.035 eV/atom
SG: P4/mmm



[10]
Compound: SrMgZr2
Source: Alexandria via LeMat-Bulk
Functional: SCAN
Structure: single point on PBEsol structure

Unit cell a=3.2214 b=5.9140 c=11.2481 alpha=90.00 beta=90.00 gamma=90.00
With the nearest neighbours (Å) after each atom.
Fractional coordinates of all 8 atoms:
Sr: 0.0000 0.0000 0.0000  2 Sr 3.22, 6 Zr 3.37-3.53, 2 Mg 3.39
Sr: 0.5000 0.5000 0.5000  2 Sr 3.22, 6 Zr 3.37-3.53, 2 Mg 3.39
Mg: 0.0000 0.5000 0.2346  6 Zr 3.15-3.40, 2 Mg 3.22, 2 Sr 3.39
Mg: 0.5000 0.0000 0.7346  6 Zr 3.15-3.40, 2 Mg 3.22, 2 Sr 3.39
Zr: 0.0000 0.0000 0.4937  4 Zr 2.90-3.22, 2 Mg 3.15
Zr: 0.0000 0.5000 0.7792  4 Zr 2.90-3.22
Zr: 0.5000 0.0000 0.2792  4 Zr 2.90-3.22
Zr: 0.5000 0.5000 0.9937  4 Zr 2.90-3.22, 2 Mg 3.15

Values from the calculation:
Energy relative to the elements: 0.467 eV/atom
SG: Imm2



[11]
Compound: YTl2Bi2
Source: Alexandria via LeMat-Bulk
Functional: SCAN
Structure: single point on PBEsol structure

Unit cell a=4.4577 b=4.4577 c=15.6344 alpha=90.00 beta=90.00 gamma=90.00
With the nearest neighbours (Å) after each atom.
Fractional coordinates of all 10 atoms:
Y: 0.0000 0.0000 0.0000  8 Tl 3.47
Y: 0.5000 0.5000 0.5000  8 Tl 3.47
Tl: 0.0000 0.0000 0.4069  1 Tl 2.91
Tl: 0.0000 0.0000 0.5931  1 Tl 2.91
Tl: 0.5000 0.5000 0.0931  1 Tl 2.91
Tl: 0.5000 0.5000 0.9069  1 Tl 2.91
Bi: 0.0000 0.5000 0.2500  4 Bi 3.15, 4 Tl 3.31
Bi: 0.0000 0.5000 0.7500  4 Bi 3.15, 4 Tl 3.31
Bi: 0.5000 0.0000 0.2500  4 Bi 3.15, 4 Tl 3.31
Bi: 0.5000 0.0000 0.7500  4 Bi 3.15, 4 Tl 3.31

Values from the calculation:
Energy relative to the elements: 0.036 eV/atom
SG: I4/mmm



[12]
Compound: Zr2HgAu
Source: Alexandria via LeMat-Bulk
Functional: SCAN
Structure: single point on PBEsol structure

Unit cell a=4.3329 b=4.3329 c=4.1753 alpha=90.00 beta=90.00 gamma=90.00
With the nearest neighbours (Å) after each atom.
Fractional coordinates of all 4 atoms:
Zr: 0.0000 0.5000 0.0000  4 Au 3.01, 4 Hg 3.01, 4 Zr 3.06
Zr: 0.5000 0.0000 0.0000  4 Au 3.01, 4 Hg 3.01, 4 Zr 3.06
Hg: 0.0000 0.0000 0.5000  8 Zr 3.01, 4 Au 3.06
Au: 0.5000 0.5000 0.5000  8 Zr 3.01, 4 Hg 3.06

Values from the calculation:
Energy relative to the elements: -0.517 eV/atom
SG: P4/mmm



[13]
Compound: LaMn3V4O12
Source: Alexandria via LeMat-Bulk
Functional: SCAN
Structure: single point on PBEsol structure

Unit cell a=6.4132 b=6.4132 c=6.4132 alpha=109.47 beta=109.47 gamma=109.47
With the nearest neighbours (Å) after each atom.
Fractional coordinates of all 20 atoms:
La: 0.0000 0.0000 0.0000  12 O 2.62
Mn: 0.0000 0.5000 0.5000  4 O 1.97
Mn: 0.5000 0.0000 0.5000  4 O 1.97
Mn: 0.5000 0.5000 0.0000  4 O 1.97
V: 0.0000 0.0000 0.5000  6 O 1.96
V: 0.0000 0.5000 0.0000  6 O 1.96
V: 0.5000 0.0000 0.0000  6 O 1.96
V: 0.5000 0.5000 0.5000  6 O 1.96
O: 0.1243 0.8196 0.3047  2 V 1.96, 1 Mn 1.97
O: 0.1804 0.3047 0.4851  2 V 1.96, 1 Mn 1.97
O: 0.1804 0.6953 0.8757  2 V 1.96, 1 Mn 1.97
O: 0.3047 0.1243 0.8196  2 V 1.96, 1 Mn 1.97
O: 0.3047 0.4851 0.1804  2 V 1.96, 1 Mn 1.97
O: 0.4851 0.1804 0.3047  2 V 1.96, 1 Mn 1.97
O: 0.5149 0.8196 0.6953  2 V 1.96, 1 Mn 1.97
O: 0.6953 0.5149 0.8196  2 V 1.96, 1 Mn 1.97
O: 0.6953 0.8757 0.1804  2 V 1.96, 1 Mn 1.97
O: 0.8196 0.3047 0.1243  2 V 1.96, 1 Mn 1.97
O: 0.8196 0.6953 0.5149  2 V 1.96, 1 Mn 1.97
O: 0.8757 0.1804 0.6953  2 V 1.96, 1 Mn 1.97

Values from the calculation:
SG: Im-3
Energy relative to the elements, uncorrected: -2682 meV per atom



no.,total energy (eV per atom),D(E_F) (states/eV/f.u.),total moment (μB per cell)
1,-45.065,2.407,0.00
2,-53.555,3.156,5.40
3,-29.659,0.000,0.00
4,-18.040,3.243,0.00
5,-37.842,4.936,0.00
6,-39.143,0.793,0.00
7,-14.925,0.000,0.00
8,-23.446,1.316,0.00
9,-52.375,4.769,0.00
10,-21.695,3.773,1.12
11,-65.908,2.492,0.00
12,-50.197,4.130,0.00
13,-14.812,9.450,20.00